## Pm2CrReO8 (PBE with a Hubbard U)

Data for Pm2CrReO8 after structural relaxation.

Cell lengths 5.0651, 5.0583, 6.6405 Å; angles 90.04, 89.89, 92.44 degrees
With the nearest neighbours (Å) after each atom.
Sites, in units of the cell vectors:
Re 0.0000 0.0000 0.0000  6 O 1.89-1.92
O 0.2692 0.2692 0.0039  1 Re 1.89
O 0.8314 0.1736 0.7809  1 Re 1.92
O 0.8251 0.1706 0.2176  1 Re 1.92
O 0.1749 0.8294 0.7824  1 Re 1.92
O 0.1686 0.8264 0.2191  1 Re 1.92
O 0.7308 0.7308 0.9961  1 Re 1.89
O 0.7217 0.7222 0.5040  1 Cr 1.95
O 0.2783 0.2778 0.4960  1 Cr 1.95
Pm 0.5034 0.5064 0.2557  6 O 2.24-2.42
Pm 0.4966 0.4936 0.7443  6 O 2.24-2.42
Cr 0.0000 0.0000 0.5000  2 O 1.95

Summary:
final energy: -96.28 eV per cell
SG: P-1 (2)